Material: MnTcBr2
Method: DFT, PBE-GGA
State: relaxed

Lattice parameters (Å, degrees): 3.238 6.084 4.317 90.00 90.00 90.00
Site moments in Bohr magnetons follow the coordinates.
Positions (direct):
Mn 0.500 0.000 0.500  4.10
Tc 0.000 0.500 0.500  2.38
Br 0.500 0.500 0.000  0.06
Br 0.000 0.000 0.000  0.09

Properties
Excess energy over the best structure of this formula in the dataset in meV per atom: 611
SG: Pmmm
E_form (uncorrected) in kJ/mol of atoms: 67
E in eV/atom: -5.03

---

Material: TlPtO2
Method: DFT, PBE-GGA
State: relaxed

Lattice parameters (Å, degrees): 4.209 4.209 4.209 60.00 60.00 60.00
Site moments in Bohr magnetons follow the coordinates.
Positions (direct):
O 0.750 0.750 0.750  0.25
O 0.250 0.250 0.250  0.25
Tl 0.500 0.500 0.500  -0.03
Pt 0.000 0.000 0.000  0.72

Properties
SG: Fm-3m
E_form (uncorrected) in kJ/mol of atoms: 33
E in eV/atom: -4.24

---

Material: ZrBiSb3
Method: DFT, PBE-GGA
State: relaxed

Lattice parameters (Å, degrees): 5.552 5.552 5.552 90.00 90.00 90.00
Positions (direct):
Zr 0.000 0.000 0.000
Sb 0.000 0.500 0.000
Sb 0.000 0.000 0.500
Bi 0.500 0.500 0.500
Sb 0.500 0.000 0.000

Properties
Excess energy over the best structure of this formula in the dataset in meV per atom: 0
SG: Pm-3m
E_form (uncorrected) in kJ/mol of atoms: 32
E in eV/atom: -4.63

---

Material: VCo2TcBr
Method: DFT, PBE-GGA
State: relaxed

Lattice parameters (Å, degrees): 4.453 4.518 4.453 90.00 90.00 90.00
Site moments in Bohr magnetons follow the coordinates.
Positions (direct):
Br 0.500 0.500 0.500  0.08
Co 0.000 0.000 0.500  1.45
V 0.000 0.000 0.000  -0.87
Tc 0.000 0.500 0.000  1.29
Co 0.500 0.000 0.000  1.11

Properties
SG: P4/mmm
E_form (uncorrected) in kJ/mol of atoms: 132
E in eV/atom: -5.70

---

Material: PmFe3Si3
Method: DFT, PBE-GGA
State: relaxed

Lattice parameters (Å, degrees): 6.286 6.286 6.286 90.00 90.00 90.00
Site moments in Bohr magnetons follow the coordinates.
Positions (direct):
Pm 0.500 0.500 0.500  0.06
Si 0.750 0.500 0.000  -0.06
Fe 0.000 0.500 0.250  1.53
Fe 0.750 0.000 0.500  1.53
Si 0.000 0.750 0.500  -0.06
Fe 0.000 0.500 0.750  1.53
Si 0.500 0.000 0.250  -0.06
Si 0.500 0.000 0.750  -0.06
Pm 0.000 0.000 0.000  0.06
Fe 0.250 0.000 0.500  1.53
Si 0.000 0.250 0.500  -0.06
Si 0.250 0.500 0.000  -0.06
Fe 0.500 0.750 0.000  1.53
Fe 0.500 0.250 0.000  1.53

Properties
SG: Pm-3n
E_form (uncorrected) in kJ/mol of atoms: 1
E in eV/atom: -6.62

---

Material: LiAl5Co
Method: DFT, PBE-GGA
State: relaxed

Lattice parameters (Å, degrees): 4.093 4.093 6.478 90.00 90.00 90.00
Positions (direct):
Li 0.000 0.000 0.000
Al 0.000 0.500 0.297
Al 0.500 0.000 0.297
Al 0.500 0.500 0.000
Al 0.000 0.500 0.703
Co 0.000 0.000 0.500
Al 0.500 0.000 0.703

Properties
SG: P4/mmm
DFT formation energy in eV/atom: -0.278
E in eV/atom: -4.24

---

Material: BaAcMg2Hg4
Method: DFT, PBE-GGA
State: relaxed

Lattice parameters (Å, degrees): 5.426 5.426 9.535 73.47 73.47 60.00
Positions (direct):
Mg 0.247 0.247 0.259
Hg 0.874 0.874 0.377
Mg 0.753 0.753 0.741
Ba 0.000 0.000 0.000
Ac 0.500 0.500 0.500
Hg 0.126 0.126 0.623
Hg 0.378 0.378 0.866
Hg 0.622 0.622 0.134

Properties
SG: R-3m
DFT formation energy in eV/atom: -0.397
E in eV/atom: -1.70

---

Material: BeFe2As
Method: DFT, PBE-GGA
State: relaxed

Lattice parameters (Å, degrees): 2.677 2.677 7.515 90.00 90.00 90.00
Site moments in Bohr magnetons follow the coordinates.
Positions (direct):
Fe 0.000 0.000 0.009  1.29
As 0.000 0.000 0.424  -0.03
Fe 0.500 0.500 0.214  0.62
Be 0.500 0.500 0.852  -0.06

Properties
Excess energy over the best structure of this formula in the dataset in meV per atom: 301
SG: P4mm
DFT formation energy in eV/atom: 0.184
E in eV/atom: -6.14

---

Material: PmAl11Zn
Method: DFT, PBE-GGA
State: relaxed

Lattice parameters (Å, degrees): 5.361 7.064 7.054 82.34 67.66 69.47
Positions (direct):
Pm 0.000 0.000 0.000
Al 0.498 0.778 0.219
Al 0.717 0.778 0.781
Al 0.502 0.222 0.781
Al 0.345 0.646 0.642
Al 0.986 0.646 0.358
Al 0.000 0.000 0.500
Al 0.283 0.222 0.219
Al 0.655 0.354 0.358
Al 0.014 0.354 0.642
Al 0.500 0.000 0.500
Zn 0.500 0.500 0.000
Al 0.000 0.500 0.000

Properties
SG: C2/m
DFT formation energy in eV/atom: -0.088
E in eV/atom: -3.72

---

Material: AlZn4Cu6
Method: DFT, PBE-GGA
State: relaxed

Lattice parameters (Å, degrees): 4.209 4.188 19.055 90.00 90.00 120.17
Positions (direct):
Zn 0.497 0.994 0.374
Cu 0.839 0.678 0.683
Zn 0.166 0.331 0.456
Cu 0.492 0.984 0.250
Cu 0.500 0.000 0.000
Al 0.173 0.347 0.750
Cu 0.500 0.000 0.500
Cu 0.839 0.678 0.817
Zn 0.834 0.669 0.956
Zn 0.503 0.006 0.874
Al 0.827 0.653 0.250
Cu 0.161 0.322 0.317
Zn 0.834 0.669 0.544
Cu 0.832 0.664 0.097
Cu 0.168 0.336 0.597
Cu 0.832 0.664 0.403
Zn 0.166 0.331 0.044
Zn 0.497 0.994 0.126
Cu 0.161 0.322 0.183
Cu 0.508 0.016 0.750
Zn 0.503 0.006 0.626
Cu 0.168 0.336 0.903

Properties
SG: Cmcm
DFT formation energy in eV/atom: -0.067
E in eV/atom: -3.10

---

Material: ZrHgMo2Au
Method: DFT, PBE-GGA
State: relaxed

Lattice parameters (Å, degrees): 4.895 5.094 4.895 90.00 90.00 90.00
Positions (direct):
Au 0.000 0.000 0.000
Mo 0.000 0.000 0.500
Hg 0.500 0.500 0.500
Zr 0.000 0.500 0.000
Mo 0.500 0.000 0.000

Properties
SG: P4/mmm
DFT formation energy in eV/atom: 1.572
E in eV/atom: -5.19

---

Material: FeTc2Os
Method: DFT, PBE-GGA
State: relaxed

Lattice parameters (Å, degrees): 2.701 3.809 5.354 90.00 90.00 90.00
Site moments in Bohr magnetons follow the coordinates.
Positions (direct):
Os 0.500 0.500 0.750  0.05
Tc 0.000 0.000 0.491  -0.10
Fe 0.500 0.500 0.250  1.88
Tc 0.000 0.000 0.009  -0.10

Properties
Excess energy over the best structure of this formula in the dataset in meV per atom: 8
SG: Pmmm
DFT formation energy in eV/atom: 0.085
E in eV/atom: -10.02